DFT (PBE-GGA) results for a relaxed structure of Zr2FePd2.

abc: 6.784 6.784 3.888
angles: 90.00 90.00 90.00
Fractional coordinates of all 10 atoms:
Zr 0.176 0.676 0.500
Zr 0.676 0.824 0.500
Zr 0.824 0.324 0.500
Zr 0.324 0.176 0.500
Pd 0.365 0.865 0.000
Pd 0.865 0.635 0.000
Pd 0.635 0.135 0.000
Pd 0.135 0.365 0.000
Fe 0.000 0.000 0.000
Fe 0.500 0.500 0.000

Computed properties:
Crystal system: tetragonal
M_tot, μB per formula unit: 0.00

***

DFT (PBE-GGA) results for a relaxed structure of ZrFe2Pd8.

abc: 4.002 6.294 7.307
angles: 106.59 105.89 90.00
Site moments in Bohr magnetons follow the coordinates.
Fractional coordinates of all 11 atoms:
Zr 0.500 0.000 0.000  -0.13
Fe 0.776 0.352 0.553  3.18
Fe 0.224 0.648 0.447  3.18
Pd 0.397 0.538 0.795  0.18
Pd 0.683 0.919 0.366  0.16
Pd 0.856 0.799 0.711  0.14
Pd 0.955 0.273 0.910  0.07
Pd 0.144 0.201 0.289  0.14
Pd 0.317 0.081 0.634  0.16
Pd 0.603 0.462 0.205  0.18
Pd 0.045 0.727 0.090  0.07

Computed properties:
Crystal system: monoclinic
M_tot, μB per formula unit: 7.15

***

DFT (PBE-GGA) results for a relaxed structure of Zr5FePd.

abc: 5.381 5.381 10.561
angles: 76.99 76.99 77.93
Fractional coordinates of all 14 atoms:
Zr 0.920 0.562 0.131
Zr 0.215 0.535 0.554
Zr 0.562 0.920 0.631
Zr 0.019 0.981 0.250
Zr 0.465 0.785 0.946
Zr 0.535 0.215 0.054
Zr 0.981 0.019 0.750
Zr 0.438 0.080 0.369
Zr 0.785 0.465 0.446
Zr 0.080 0.438 0.869
Fe 0.000 0.000 0.000
Fe 0.000 0.000 0.500
Pd 0.411 0.589 0.250
Pd 0.589 0.411 0.750

Computed properties:
Crystal system: monoclinic
M_tot, μB per formula unit: 0.00

***

DFT (PBE-GGA) results for a relaxed structure of ZrFePd2.

abc: 3.894 3.894 9.508
angles: 78.18 78.18 90.00
Site moments in Bohr magnetons follow the coordinates.
Fractional coordinates of all 8 atoms:
Zr 0.000 0.000 0.000  -0.34
Zr 0.750 0.250 0.500  -0.33
Pd 0.610 0.125 0.250  0.07
Pd 0.140 0.625 0.250  0.07
Pd 0.375 0.390 0.750  0.07
Pd 0.875 0.860 0.750  0.07
Fe 0.500 0.500 0.000  2.38
Fe 0.250 0.750 0.500  2.38

Computed properties:
Crystal system: tetragonal
M_tot, μB per formula unit: 2.11

***

DFT (PBE-GGA) results for a relaxed structure of Zr6FePd2.

abc: 5.510 7.219 9.181
angles: 90.00 88.79 90.00
Fractional coordinates of all 18 atoms:
Zr 0.845 0.952 0.252
Zr 0.846 0.657 0.536
Zr 0.862 0.714 0.949
Zr 0.638 0.214 0.551
Zr 0.654 0.157 0.964
Zr 0.655 0.452 0.248
Zr 0.155 0.048 0.748
Zr 0.154 0.343 0.464
Zr 0.138 0.286 0.051
Zr 0.362 0.786 0.449
Zr 0.346 0.843 0.036
Zr 0.345 0.548 0.752
Fe 0.500 0.500 0.000
Fe 0.000 0.000 0.500
Pd 0.869 0.404 0.776
Pd 0.631 0.904 0.724
Pd 0.369 0.096 0.276
Pd 0.131 0.596 0.224

Computed properties:
Crystal system: monoclinic
M_tot, μB per formula unit: 0.00

***

DFT (PBE-GGA) results for a relaxed structure of Zr5Fe4Pd.

abc: 3.171 3.171 16.511
angles: 90.00 90.00 90.00
Site moments in Bohr magnetons follow the coordinates.
Fractional coordinates of all 10 atoms:
Zr 0.500 0.500 0.114  -0.16
Zr 0.500 0.500 0.307  -0.10
Zr 0.500 0.500 0.500  0.04
Zr 0.500 0.500 0.693  -0.10
Zr 0.500 0.500 0.886  -0.16
Fe 0.000 0.000 0.209  0.87
Fe 0.000 0.000 0.404  -0.15
Fe 0.000 0.000 0.596  -0.15
Fe 0.000 0.000 0.791  0.87
Pd 0.000 0.000 0.000  0.00

Computed properties:
Crystal system: tetragonal
M_tot, μB per formula unit: 0.79

***

DFT (PBE-GGA) results for a relaxed structure of Zr12Fe3Pd5.

abc: 13.435 13.435 13.435
angles: 109.47 109.47 109.47
Fractional coordinates of all 80 atoms:
Fe 0.750 0.375 0.125
Fe 0.875 0.750 0.125
Fe 0.375 0.750 0.625
Fe 0.250 0.125 0.375
Fe 0.875 0.125 0.250
Fe 0.375 0.625 0.250
Fe 0.625 0.375 0.750
Fe 0.125 0.875 0.750
Fe 0.750 0.875 0.625
Fe 0.625 0.250 0.375
Fe 0.125 0.250 0.875
Fe 0.250 0.625 0.875
Pd 0.125 0.375 0.250
Pd 0.000 0.500 0.000
Pd 0.000 0.000 0.000
Pd 0.375 0.250 0.125
Pd 0.500 0.000 0.500
Pd 0.500 0.500 0.000
Pd 0.125 0.750 0.375
Pd 0.750 0.125 0.875
Pd 0.750 0.625 0.375
Pd 0.375 0.125 0.750
Pd 0.625 0.875 0.250
Pd 0.500 0.500 0.500
Pd 0.500 0.000 0.000
Pd 0.000 0.000 0.500
Pd 0.250 0.375 0.625
Pd 0.250 0.875 0.125
Pd 0.000 0.500 0.500
Pd 0.875 0.250 0.625
Pd 0.625 0.750 0.875
Pd 0.875 0.625 0.750
Zr 0.731 0.135 0.063
Zr 0.331 0.563 0.428
Zr 0.937 0.365 0.269
Zr 0.563 0.231 0.135
Zr 0.596 0.731 0.669
Zr 0.937 0.572 0.169
Zr 0.331 0.769 0.404
Zr 0.072 0.904 0.135
Zr 0.572 0.937 0.669
Zr 0.731 0.596 0.169
Zr 0.769 0.437 0.365
Zr 0.831 0.928 0.063
Zr 0.135 0.731 0.563
Zr 0.365 0.428 0.096
Zr 0.096 0.928 0.365
Zr 0.404 0.135 0.572
Zr 0.096 0.169 0.231
Zr 0.437 0.669 0.072
Zr 0.831 0.904 0.269
Zr 0.135 0.404 0.072
Zr 0.365 0.937 0.769
Zr 0.572 0.635 0.404
Zr 0.928 0.831 0.563
Zr 0.769 0.331 0.904
Zr 0.428 0.365 0.596
Zr 0.072 0.169 0.437
Zr 0.231 0.669 0.096
Zr 0.169 0.096 0.731
Zr 0.635 0.063 0.231
Zr 0.865 0.596 0.928
Zr 0.563 0.331 0.928
Zr 0.596 0.865 0.428
Zr 0.904 0.831 0.769
Zr 0.904 0.072 0.635
Zr 0.865 0.269 0.437
Zr 0.169 0.072 0.937
Zr 0.635 0.572 0.904
Zr 0.428 0.063 0.331
Zr 0.269 0.404 0.831
Zr 0.231 0.563 0.635
Zr 0.928 0.096 0.865
Zr 0.669 0.231 0.596
Zr 0.437 0.769 0.865
Zr 0.063 0.428 0.831
Zr 0.404 0.269 0.331
Zr 0.063 0.635 0.731
Zr 0.669 0.437 0.572
Zr 0.269 0.865 0.937

Computed properties:
Crystal system: cubic
M_tot, μB per formula unit: 0.00

***

DFT (PBE-GGA) results for a relaxed structure of PmFe.

abc: 4.272 3.691 6.024
angles: 90.00 110.79 90.00
Site moments in Bohr magnetons follow the coordinates.
Fractional coordinates of all 4 atoms:
Fe 0.939 0.250 0.879  1.80
Fe 0.061 0.750 0.121  1.80
Pm 0.641 0.250 0.282  -0.24
Pm 0.359 0.750 0.718  -0.24

Computed properties:
Crystal system: orthorhombic
M_tot, μB per formula unit: 1.38

***

Number 1: VASP energy -73.5 eV for the cell shown. Number 2: VASP energy -70.5 eV for the cell shown. Number 3: VASP energy -114.0 eV for the cell shown. Number 4: VASP energy -55.0 eV for the cell shown. Number 5: VASP energy -145.1 eV for the cell shown. Number 6: VASP energy -84.5 eV for the cell shown. Number 7: VASP energy -594.8 eV for the cell shown. Number 8: VASP energy -26.0 eV for the cell shown.